Record 1
# KTaV2 | the Alexandria database | PBE | optimized geometry
data_KTaV2
_chemical_formula_sum 'K4 Ta4 V8'
_space_group_name_H-M_alt 'F m -3 m'
_space_group_IT_number 225
_space_group_name_Hall '-F 4 2 3'
_cell_length_a 6.743
_cell_length_b 6.743
_cell_length_c 6.743
_cell_angle_alpha 90.00
_cell_angle_beta 90.00
_cell_angle_gamma 90.00
loop_
_atom_site_label
_atom_site_fract_x
_atom_site_fract_y
_atom_site_fract_z
K1 0.000 0.000 0.000
Ta1 0.000 0.000 0.500
V1 0.250 0.250 0.250
# Crystal system: cubic
# Energy of formation from the pure elements, meV per atom: 1502
# DFT total energy, eV per atom: -6.294



Record 2
# CeErSiS | the Alexandria database | PBE | optimized geometry
data_CeErSiS
_chemical_formula_sum 'Ce3 Er3 Si3 S3'
_space_group_name_H-M_alt 'R 3 m'
_space_group_IT_number 160
_space_group_name_Hall 'R 3 -2"'
_cell_length_a 4.0586
_cell_length_b 4.0586
_cell_length_c 19.8201
_cell_angle_alpha 90.00
_cell_angle_beta 90.00
_cell_angle_gamma 120.00
loop_
_atom_site_label
_atom_site_fract_x
_atom_site_fract_y
_atom_site_fract_z
Ce1 0.0000 0.0000 0.0000
Er1 0.0000 0.0000 0.5003
Si1 0.0000 0.0000 0.7509
S1 0.0000 0.0000 0.2464
# Uncorrected formation energy, meV per atom: -1318
# Crystal system: trigonal
# DFT total energy, eV per atom: -6.329



Copy entry 2 word for word.
# CeErSiS | the Alexandria database | PBE | optimized geometry
data_CeErSiS
_chemical_formula_sum 'Ce3 Er3 Si3 S3'
_space_group_name_H-M_alt 'R 3 m'
_space_group_IT_number 160
_space_group_name_Hall 'R 3 -2"'
_cell_length_a 4.0586
_cell_length_b 4.0586
_cell_length_c 19.8201
_cell_angle_alpha 90.00
_cell_angle_beta 90.00
_cell_angle_gamma 120.00
loop_
_atom_site_label
_atom_site_fract_x
_atom_site_fract_y
_atom_site_fract_z
Ce1 0.0000 0.0000 0.0000
Er1 0.0000 0.0000 0.5003
Si1 0.0000 0.0000 0.7509
S1 0.0000 0.0000 0.2464
# Uncorrected formation energy, meV per atom: -1318
# Crystal system: trigonal
# DFT total energy, eV per atom: -6.329